Entry from Alexandria: an optimized crystal structure of YCd9Pd2 (PBE).

```
data_YCd9Pd2
_chemical_formula_sum 'Y2 Cd18 Pd4'
_space_group_name_H-M_alt 'P 1'
_space_group_IT_number 1
_space_group_name_Hall 'P 1'
_cell_length_a 7.518
_cell_length_b 9.092
_cell_length_c 9.092
_cell_angle_alpha 80.16
_cell_angle_beta 65.58
_cell_angle_gamma 65.58
loop_
_atom_site_label
_atom_site_fract_x
_atom_site_fract_y
_atom_site_fract_z
_atom_site_occupancy
Cd1 0.750 0.500 0.500 1
Cd2 0.146 0.423 0.182 1
Cd3 0.146 0.182 0.423 1
Cd4 0.078 0.318 0.923 1
Cd5 0.319 0.077 0.682 1
Cd6 0.999 0.682 0.923 1
Pd1 0.875 0.250 0.250 1
Y1 0.250 0.500 0.500 1
Y2 0.500 0.000 0.000 1
Cd7 0.319 0.682 0.077 1
Cd8 0.672 0.577 0.182 1
Cd9 0.751 0.577 0.818 1
Cd10 0.000 0.000 0.000 1
Pd2 0.875 0.750 0.250 1
Pd3 0.875 0.250 0.750 1
Pd4 0.375 0.750 0.750 1
Cd11 0.431 0.818 0.423 1
Cd12 0.604 0.318 0.077 1
Cd13 0.431 0.423 0.818 1
Cd14 0.078 0.923 0.318 1
Cd15 0.604 0.077 0.318 1
Cd16 0.999 0.923 0.682 1
Cd17 0.751 0.818 0.577 1
Cd18 0.672 0.182 0.577 1
```

## Properties
As for the total energy: -0.085 Ha/atom. As for the formation energy: -0.2149 eV/atom.

***

Entry from Alexandria: an optimized crystal structure of RbTmPbO3 (PBE).

```
data_RbTmPbO3
_chemical_formula_sum 'Rb2 Tm2 Pb2 O6'
_space_group_name_H-M_alt 'P 1'
_space_group_IT_number 1
_space_group_name_Hall 'P 1'
_cell_length_a 3.486
_cell_length_b 10.054
_cell_length_c 7.081
_cell_angle_alpha 94.97
_cell_angle_beta 90.00
_cell_angle_gamma 90.00
loop_
_atom_site_label
_atom_site_fract_x
_atom_site_fract_y
_atom_site_fract_z
_atom_site_occupancy
Rb1 0.750 0.676 0.612 1
O1 0.750 0.204 0.658 1
Rb2 0.250 0.324 0.388 1
Pb1 0.750 0.916 0.230 1
O2 0.250 0.492 0.826 1
Tm1 0.750 0.367 0.913 1
O3 0.750 0.508 0.174 1
O4 0.250 0.796 0.342 1
Tm2 0.250 0.633 0.087 1
O5 0.750 0.759 0.995 1
Pb2 0.250 0.084 0.770 1
O6 0.250 0.241 0.005 1
```

## Properties
As for the total energy: -0.229 Ha/atom. The calculation puts the uncorrected formation energy at -2215 meV/atom.

***

Entry from Alexandria: an optimized crystal structure of NaAgSe (PBE).

```
data_NaAgSe
_chemical_formula_sum 'Na1 Ag1 Se1'
_space_group_name_H-M_alt 'P 1'
_space_group_IT_number 1
_space_group_name_Hall 'P 1'
_cell_length_a 4.237
_cell_length_b 4.484
_cell_length_c 4.484
_cell_angle_alpha 120.00
_cell_angle_beta 90.00
_cell_angle_gamma 90.00
loop_
_atom_site_label
_atom_site_fract_x
_atom_site_fract_y
_atom_site_fract_z
_atom_site_occupancy
Na1 0.667 0.667 0.333 1
Se1 0.166 0.000 0.000 1
Ag1 0.167 0.333 0.667 1
```

## Properties
As for the total energy: -0.114 Ha/atom. The calculation puts the uncorrected formation energy at -556 meV/atom.

***

Entry from Alexandria: an optimized crystal structure of Zr2CdIn3 (PBE).

```
data_Zr2CdIn3
_chemical_formula_sum 'Zr4 Cd2 In6'
_space_group_name_H-M_alt 'P 1'
_space_group_IT_number 1
_space_group_name_Hall 'P 1'
_cell_length_a 6.173
_cell_length_b 5.752
_cell_length_c 8.355
_cell_angle_alpha 94.17
_cell_angle_beta 111.68
_cell_angle_gamma 90.00
loop_
_atom_site_label
_atom_site_fract_x
_atom_site_fract_y
_atom_site_fract_z
_atom_site_occupancy
Zr1 0.207 0.405 0.661 1
In1 0.039 0.087 0.333 1
Cd1 0.110 0.250 0.000 1
Zr2 0.454 0.905 0.661 1
In2 0.706 0.413 0.667 1
Zr3 0.793 0.595 0.339 1
Cd2 0.890 0.750 0.000 1
Zr4 0.546 0.095 0.339 1
In3 0.294 0.587 0.333 1
In4 0.599 0.250 0.000 1
In5 0.961 0.913 0.667 1
In6 0.401 0.750 0.000 1
```

## Properties
As for the total energy: -0.166 Ha/atom. As for the formation energy: -0.1496 eV/atom. As for the energy above the most stable polymorph in this dataset: 129 meV/atom.

***

Entry from Alexandria: an optimized crystal structure of Ca2Pu4Sb3H2 (PBE).

```
data_Ca2Pu4Sb3H2
_chemical_formula_sum 'Ca2 Pu4 Sb3 H2'
_space_group_name_H-M_alt 'P 1'
_space_group_IT_number 1
_space_group_name_Hall 'P 1'
_cell_length_a 4.613
_cell_length_b 4.613
_cell_length_c 13.405
_cell_angle_alpha 99.91
_cell_angle_beta 99.91
_cell_angle_gamma 90.00
loop_
_atom_site_label
_atom_site_fract_x
_atom_site_fract_y
_atom_site_fract_z
_atom_site_occupancy
Pu1 0.415 0.915 0.831 1
H1 0.609 0.609 0.217 1
Ca1 0.300 0.300 0.599 1
Sb1 0.824 0.824 0.649 1
Pu2 0.915 0.415 0.831 1
Sb2 0.176 0.176 0.351 1
Sb3 0.000 0.000 0.000 1
Ca2 0.700 0.700 0.401 1
Pu3 0.085 0.585 0.169 1
H2 0.391 0.391 0.783 1
Pu4 0.585 0.085 0.169 1
```

## Properties
As for the total energy: -0.292 Ha/atom.

***

Entry from Alexandria: an optimized crystal structure of Tb3YTl3 (PBE).

```
data_Tb3YTl3
_chemical_formula_sum 'Tb6 Y2 Tl6'
_space_group_name_H-M_alt 'P 1'
_space_group_IT_number 1
_space_group_name_Hall 'P 1'
_cell_length_a 5.235
_cell_length_b 9.450
_cell_length_c 9.450
_cell_angle_alpha 120.00
_cell_angle_beta 90.00
_cell_angle_gamma 90.00
loop_
_atom_site_label
_atom_site_fract_x
_atom_site_fract_y
_atom_site_fract_z
_atom_site_occupancy
Tl1 0.250 0.379 0.929 1
Tb1 0.750 0.234 0.999 1
Tb2 0.750 0.001 0.235 1
Y1 0.250 0.667 0.333 1
Y2 0.750 0.333 0.667 1
Tb3 0.250 0.766 0.001 1
Tl2 0.250 0.071 0.450 1
Tl3 0.750 0.450 0.379 1
Tb4 0.250 0.235 0.234 1
Tb5 0.750 0.765 0.766 1
Tb6 0.250 0.999 0.765 1
Tl4 0.750 0.621 0.071 1
Tl5 0.250 0.550 0.621 1
Tl6 0.750 0.929 0.550 1
```

## Properties
As for the total energy: -0.153 Ha/atom. As for the formation energy: -0.2305 eV/atom. As for the energy above the most stable polymorph in this dataset: 36 meV/atom.

***

Entry from Alexandria: an optimized crystal structure of CaScMn2 (PBE).

```
data_CaScMn2
_chemical_formula_sum 'Ca2 Sc2 Mn4'
_space_group_name_H-M_alt 'P 1'
_space_group_IT_number 1
_space_group_name_Hall 'P 1'
_cell_length_a 4.572
_cell_length_b 4.572
_cell_length_c 9.688
_cell_angle_alpha 76.35
_cell_angle_beta 76.35
_cell_angle_gamma 90.00
loop_
_atom_site_label
_atom_site_fract_x
_atom_site_fract_y
_atom_site_fract_z
_atom_site_occupancy
Sc1 0.000 0.000 0.000 1
Mn1 0.875 0.125 0.750 1
Sc2 0.750 0.250 0.500 1
Ca1 0.250 0.750 0.500 1
Mn2 0.875 0.625 0.250 1
Mn3 0.375 0.125 0.750 1
Ca2 0.500 0.500 0.000 1
Mn4 0.875 0.125 0.250 1
```

## Properties
As for the total energy: -0.213 Ha/atom. As for the formation energy: 0.8602 eV/atom. As for the energy above the most stable polymorph in this dataset: 623 meV/atom.

***

Entry from Alexandria: an optimized crystal structure of TeHPb (PBE).

```
data_TeHPb
_chemical_formula_sum 'Te1 H1 Pb1'
_space_group_name_H-M_alt 'P 1'
_space_group_IT_number 1
_space_group_name_Hall 'P 1'
_cell_length_a 4.594
_cell_length_b 4.594
_cell_length_c 4.908
_cell_angle_alpha 117.91
_cell_angle_beta 117.91
_cell_angle_gamma 90.00
loop_
_atom_site_label
_atom_site_fract_x
_atom_site_fract_y
_atom_site_fract_z
_atom_site_occupancy
Te1 0.009 0.009 0.018 1
Pb1 0.562 0.562 0.124 1
H1 0.279 0.279 0.558 1
```

## Properties
As for the total energy: -0.123 Ha/atom.

***

Entry from Alexandria: an optimized crystal structure of BaRu2SeO (PBE).

```
data_BaRu2SeO
_chemical_formula_sum 'Ba1 Ru2 Se1 O1'
_space_group_name_H-M_alt 'P 1'
_space_group_IT_number 1
_space_group_name_Hall 'P 1'
_cell_length_a 4.523
_cell_length_b 5.416
_cell_length_c 4.523
_cell_angle_alpha 90.00
_cell_angle_beta 90.00
_cell_angle_gamma 90.00
loop_
_atom_site_label
_atom_site_fract_x
_atom_site_fract_y
_atom_site_fract_z
_atom_site_occupancy
Ru1 0.500 0.000 0.000 1
Se1 0.000 0.000 0.000 1
Ru2 0.000 0.000 0.500 1
O1 0.000 0.500 0.000 1
Ba1 0.500 0.500 0.500 1
```

## Properties
As for the total energy: -0.204 Ha/atom. The calculation puts the uncorrected formation energy at 236 meV/atom.

***

Entry from Alexandria: an optimized crystal structure of CsPrCuF6 (PBE).

```
data_CsPrCuF6
_chemical_formula_sum 'Cs2 Pr2 Cu2 F12'
_space_group_name_H-M_alt 'P 1'
_space_group_IT_number 1
_space_group_name_Hall 'P 1'
_cell_length_a 7.800
_cell_length_b 8.011
_cell_length_c 7.603
_cell_angle_alpha 121.79
_cell_angle_beta 120.86
_cell_angle_gamma 90.00
loop_
_atom_site_label
_atom_site_fract_x
_atom_site_fract_y
_atom_site_fract_z
_atom_site_occupancy
F1 0.448 0.620 0.262 1
F2 0.448 0.142 0.262 1
F3 0.390 0.140 0.780 1
F4 0.610 0.860 0.220 1
F5 0.552 0.380 0.738 1
Cs1 0.833 0.583 0.667 1
Cu1 0.500 0.000 0.000 1
Pr1 0.000 0.000 0.500 1
Cu2 0.500 0.500 0.000 1
F6 0.814 0.620 0.262 1
Cs2 0.167 0.417 0.333 1
F7 0.186 0.380 0.738 1
F8 0.552 0.858 0.738 1
F9 0.122 0.872 0.245 1
Pr2 0.500 0.000 0.500 1
F10 0.878 0.128 0.755 1
F11 0.814 0.142 0.262 1
F12 0.186 0.858 0.738 1
```

## Properties
As for the total energy: -0.193 Ha/atom. The calculation puts the uncorrected formation energy at -2921 meV/atom.

***

Entry from Alexandria: an optimized crystal structure of Na3Pb4 (PBE).

```
data_Na3Pb4
_chemical_formula_sum 'Na3 Pb4'
_space_group_name_H-M_alt 'P 1'
_space_group_IT_number 1
_space_group_name_Hall 'P 1'
_cell_length_a 3.490
_cell_length_b 4.850
_cell_length_c 12.425
_cell_angle_alpha 101.25
_cell_angle_beta 98.07
_cell_angle_gamma 90.00
loop_
_atom_site_label
_atom_site_fract_x
_atom_site_fract_y
_atom_site_fract_z
_atom_site_occupancy
Na1 0.141 0.641 0.281 1
Pb1 0.429 0.929 0.858 1
Na2 0.000 0.500 0.000 1
Pb2 0.285 0.785 0.569 1
Pb3 0.715 0.215 0.431 1
Na3 0.859 0.359 0.719 1
Pb4 0.571 0.071 0.142 1
```

## Properties
As for the total energy: -0.103 Ha/atom. As for the formation energy: -0.1295 eV/atom.

***

Entry from Alexandria: an optimized crystal structure of TlGeS3 (PBE).

```
data_TlGeS3
_chemical_formula_sum 'Tl1 Ge1 S3'
_space_group_name_H-M_alt 'P 1'
_space_group_IT_number 1
_space_group_name_Hall 'P 1'
_cell_length_a 4.810
_cell_length_b 4.810
_cell_length_c 4.810
_cell_angle_alpha 90.00
_cell_angle_beta 90.00
_cell_angle_gamma 90.00
loop_
_atom_site_label
_atom_site_fract_x
_atom_site_fract_y
_atom_site_fract_z
_atom_site_occupancy
S1 0.000 0.000 0.500 1
Ge1 0.000 0.000 0.000 1
S2 0.500 0.000 0.000 1
S3 0.000 0.500 0.000 1
Tl1 0.500 0.500 0.500 1
```

## Properties
As for the total energy: -0.139 Ha/atom. The calculation puts the uncorrected formation energy at 97 meV/atom. As for the energy above the most stable polymorph in this dataset: 0 meV/atom.

***

Entry from Alexandria: an optimized crystal structure of Pr6Zn2SeI3 (PBE).

```
data_Pr6Zn2SeI3
_chemical_formula_sum 'Pr6 Zn2 Se1 I3'
_space_group_name_H-M_alt 'P 1'
_space_group_IT_number 1
_space_group_name_Hall 'P 1'
_cell_length_a 7.528
_cell_length_b 7.528
_cell_length_c 8.141
_cell_angle_alpha 98.83
_cell_angle_beta 98.83
_cell_angle_gamma 120.19
loop_
_atom_site_label
_atom_site_fract_x
_atom_site_fract_y
_atom_site_fract_z
_atom_site_occupancy
I1 0.500 0.500 0.500 1
Se1 0.000 0.000 0.000 1
Pr1 0.269 0.269 0.796 1
Zn1 0.668 0.332 0.000 1
I2 0.165 0.835 0.500 1
Pr2 0.596 0.930 0.791 1
I3 0.835 0.165 0.500 1
Pr3 0.070 0.404 0.209 1
Pr4 0.731 0.731 0.204 1
Zn2 0.332 0.668 0.000 1
Pr5 0.404 0.070 0.209 1
Pr6 0.930 0.596 0.791 1
```

## Properties
As for the total energy: -0.152 Ha/atom. The calculation puts the uncorrected formation energy at -865 meV/atom.

***

Entry from Alexandria: an optimized crystal structure of La3PbO (PBE).

```
data_La3PbO
_chemical_formula_sum 'La3 Pb1 O1'
_space_group_name_H-M_alt 'P 1'
_space_group_IT_number 1
_space_group_name_Hall 'P 1'
_cell_length_a 5.444
_cell_length_b 5.444
_cell_length_c 5.444
_cell_angle_alpha 86.37
_cell_angle_beta 86.37
_cell_angle_gamma 86.37
loop_
_atom_site_label
_atom_site_fract_x
_atom_site_fract_y
_atom_site_fract_z
_atom_site_occupancy
La1 0.225 0.225 0.723 1
Pb1 0.687 0.687 0.687 1
La2 0.225 0.723 0.225 1
O1 0.017 0.017 0.017 1
La3 0.723 0.225 0.225 1
```

## Properties
As for the total energy: -0.215 Ha/atom. The calculation puts the uncorrected formation energy at -1160 meV/atom.

***

Entry from Alexandria: an optimized crystal structure of Ac3LaPm8 (PBE).

```
data_Ac3LaPm8
_chemical_formula_sum 'Ac3 La1 Pm8'
_space_group_name_H-M_alt 'P 1'
_space_group_IT_number 1
_space_group_name_Hall 'P 1'
_cell_length_a 8.720
_cell_length_b 8.720
_cell_length_c 8.720
_cell_angle_alpha 96.44
_cell_angle_beta 116.35
_cell_angle_gamma 116.35
loop_
_atom_site_label
_atom_site_fract_x
_atom_site_fract_y
_atom_site_fract_z
_atom_site_occupancy
Pm1 0.757 0.119 0.119 1
Ac1 0.500 0.750 0.250 1
Pm2 0.000 0.259 0.789 1
Ac2 0.000 0.500 0.500 1
Pm3 0.000 0.881 0.638 1
Pm4 0.000 0.638 0.881 1
La1 0.000 0.000 0.000 1
Pm5 0.530 0.741 0.741 1
Ac3 0.500 0.250 0.750 1
Pm6 0.243 0.362 0.362 1
Pm7 0.000 0.789 0.259 1
Pm8 0.470 0.211 0.211 1
```

## Properties
As for the total energy: -0.150 Ha/atom. As for the formation energy: 0.5234 eV/atom.